# 1
# PuHgBi3 PBE optimized geometry
# Formation energy   0.031 eV/atom
# E above lowest polymorph   0.0 meV per atom
# N(E_F)   55.74 states/eV/cell
data_PuHgBi3
_chemical_formula_sum 'Pu4 Hg4 Bi12'
_symmetry_space_group_name_H-M 'C m c m'
_symmetry_Int_Tables_number 63
_symmetry_space_group_name_Hall '-C 2c 2'
_cell_length_a 10.562
_cell_length_b 10.873
_cell_length_c 5.967
_cell_angle_alpha 90.00
_cell_angle_beta 90.00
_cell_angle_gamma 90.00
loop_
_atom_site_label
_atom_site_fract_x
_atom_site_fract_y
_atom_site_fract_z
_atom_site_occupancy
Pu1 0.000 0.227 0.250 1
Hg1 0.000 0.063 0.750 1
Bi1 0.000 0.500 0.000 1
Bi2 0.193 0.296 0.750 1

=====

# 2
# In2OsW PBE optimized geometry
# Formation energy   0.648 eV/atom
# E above lowest polymorph   442.2 meV per atom
# N(E_F)   3.51 states/eV/cell
data_In2OsW
_chemical_formula_sum 'In4 Os2 W2'
_symmetry_space_group_name_H-M 'C 1 2/m 1'
_symmetry_Int_Tables_number 12
_cell_length_a 9.488
_cell_length_b 3.017
_cell_length_c 5.093
_cell_angle_alpha 90.00
_cell_angle_beta 101.62
_cell_angle_gamma 90.00
loop_
_symmetry_equiv_pos_as_xyz
'x,y,z'
'-x,-y,-z'
'-x,y,-z'
'x,-y,z'
'x+1/2,y+1/2,z'
'-x+1/2,-y+1/2,-z'
'-x+1/2,y+1/2,-z'
'x+1/2,-y+1/2,z'
loop_
_atom_site_label
_atom_site_fract_x
_atom_site_fract_y
_atom_site_fract_z
_atom_site_occupancy
In1 0.246 0.000 0.244 1
Os1 0.000 0.500 0.000 1
W1 0.000 0.000 0.500 1

=====

# 3
# Er2ScPd PBE optimized geometry
# Formation energy   -0.059 eV/atom
# E above lowest polymorph   389.1 meV per atom
# N(E_F)   12.97 states/eV/cell
data_Er2ScPd
_chemical_formula_sum 'Er6 Sc3 Pd3'
_symmetry_space_group_name_H-M 'R -3 m'
_symmetry_Int_Tables_number 166
_symmetry_space_group_name_Hall '-R 3 2"'
_cell_length_a 3.4307
_cell_length_b 3.4307
_cell_length_c 31.2110
_cell_angle_alpha 90.00
_cell_angle_beta 90.00
_cell_angle_gamma 120.00
loop_
_atom_site_label
_atom_site_fract_x
_atom_site_fract_y
_atom_site_fract_z
_atom_site_occupancy
Er1 0.0000 0.0000 0.1016 1
Sc1 0.0000 0.0000 0.0000 1
Pd1 0.0000 0.0000 0.5000 1

=====

# 4
# KSb2Te PBE optimized geometry
# Formation energy from raw total energies   -107 meV per atom
# N(E_F)   2.06 states/eV/cell
data_KSb2Te
_chemical_formula_sum 'K2 Sb4 Te2'
_symmetry_space_group_name_H-M 'C 1 m 1'
_symmetry_Int_Tables_number 8
_cell_length_a 12.909
_cell_length_b 3.455
_cell_length_c 6.457
_cell_angle_alpha 90.00
_cell_angle_beta 103.99
_cell_angle_gamma 90.00
loop_
_symmetry_equiv_pos_as_xyz
'x,y,z'
'x,-y,z'
'x+1/2,y+1/2,z'
'x+1/2,-y+1/2,z'
loop_
_atom_site_label
_atom_site_fract_x
_atom_site_fract_y
_atom_site_fract_z
_atom_site_occupancy
K1 0.000 0.000 0.000 1
Sb1 0.278 0.500 0.447 1
Sb2 0.471 0.000 0.489 1
Te1 0.243 0.000 0.816 1

=====

# 5
# Pm12InRh5 PBE optimized geometry
# Formation energy   -0.526 eV/atom
# N(E_F)   24.40 states/eV/cell
data_Pm12InRh5
_chemical_formula_sum 'Pm24 In2 Rh10'
_symmetry_space_group_name_H-M 'I m m m'
_symmetry_Int_Tables_number 71
_symmetry_space_group_name_Hall '-I 2 2'
_cell_length_a 9.653
_cell_length_b 9.757
_cell_length_c 10.506
_cell_angle_alpha 90.00
_cell_angle_beta 90.00
_cell_angle_gamma 90.00
loop_
_atom_site_label
_atom_site_fract_x
_atom_site_fract_y
_atom_site_fract_z
_atom_site_occupancy
Pm1 0.000 0.188 0.222 1
Pm2 0.193 0.500 0.173 1
Pm3 0.212 0.321 0.500 1
In1 0.000 0.000 0.500 1
Rh1 0.000 0.000 0.000 1
Rh2 0.000 0.342 0.000 1
Rh3 0.000 0.500 0.369 1

=====

# 6
# La2AsP PBE optimized geometry
# Formation energy   -1.221 eV/atom
# E above lowest polymorph   352.6 meV per atom
# N(E_F)   2.06 states/eV/cell
data_La2AsP
_chemical_formula_sum 'La4 As2 P2'
_symmetry_space_group_name_H-M 'I m m m'
_symmetry_Int_Tables_number 71
_symmetry_space_group_name_Hall '-I 2 2'
_cell_length_a 4.746
_cell_length_b 5.720
_cell_length_c 7.631
_cell_angle_alpha 90.00
_cell_angle_beta 90.00
_cell_angle_gamma 90.00
loop_
_atom_site_label
_atom_site_fract_x
_atom_site_fract_y
_atom_site_fract_z
_atom_site_occupancy
La1 0.000 0.000 0.245 1
As1 0.000 0.500 0.000 1
P1 0.000 0.500 0.500 1

=====

# 7
# Ca2SmSnSe4 PBE optimized geometry
# Formation energy from raw total energies   -1512 meV per atom
# N(E_F)   3.09 states/eV/cell
data_Ca2SmSnSe4
_chemical_formula_sum 'Ca2 Sm1 Sn1 Se4'
_symmetry_space_group_name_H-M 'P 1 2/m 1'
_symmetry_Int_Tables_number 10
_cell_length_a 7.312
_cell_length_b 4.206
_cell_length_c 7.376
_cell_angle_alpha 90.00
_cell_angle_beta 109.33
_cell_angle_gamma 90.00
loop_
_symmetry_equiv_pos_as_xyz
'x,y,z'
'-x,-y,-z'
'-x,y,-z'
'x,-y,z'
loop_
_atom_site_label
_atom_site_fract_x
_atom_site_fract_y
_atom_site_fract_z
_atom_site_occupancy
Ca1 0.000 0.000 0.000 1
Ca2 0.000 0.500 0.500 1
Sm1 0.500 0.000 0.500 1
Sn1 0.500 0.500 0.000 1
Se1 0.247 0.000 0.745 1
Se2 0.248 0.500 0.251 1

=====

# 8
# AsPb4 PBE optimized geometry
# Formation energy   0.205 eV/atom
# E above lowest polymorph   161.5 meV per atom
# N(E_F)   6.89 states/eV/cell
data_AsPb4
_chemical_formula_sum 'As2 Pb8'
_symmetry_space_group_name_H-M 'I m -3 m'
_symmetry_Int_Tables_number 229
_symmetry_space_group_name_Hall '-I 4 2 3'
_cell_length_a 6.989
_cell_length_b 6.989
_cell_length_c 6.989
_cell_angle_alpha 90.00
_cell_angle_beta 90.00
_cell_angle_gamma 90.00
loop_
_atom_site_label
_atom_site_fract_x
_atom_site_fract_y
_atom_site_fract_z
_atom_site_occupancy
As1 0.000 0.000 0.000 1
Pb1 0.250 0.250 0.250 1

=====

# 9
# Re2Se3S PBE optimized geometry
# Formation energy from raw total energies   -345 meV per atom
# N(E_F)   11.76 states/eV/cell
data_Re2Se3S
_chemical_formula_sum 'Re8 Se12 S4'
_symmetry_space_group_name_H-M 'C 1 2/m 1'
_symmetry_Int_Tables_number 12
_cell_length_a 15.450
_cell_length_b 3.251
_cell_length_c 11.840
_cell_angle_alpha 90.00
_cell_angle_beta 113.08
_cell_angle_gamma 90.00
loop_
_symmetry_equiv_pos_as_xyz
'x,y,z'
'-x,-y,-z'
'-x,y,-z'
'x,-y,z'
'x+1/2,y+1/2,z'
'-x+1/2,-y+1/2,-z'
'-x+1/2,y+1/2,-z'
'x+1/2,-y+1/2,z'
loop_
_atom_site_label
_atom_site_fract_x
_atom_site_fract_y
_atom_site_fract_z
_atom_site_occupancy
Re1 0.243 0.000 0.343 1
Re2 0.249 0.500 0.153 1
Se1 0.116 0.500 0.219 1
Se2 0.151 0.000 0.982 1
Se3 0.153 0.000 0.490 1
S1 0.137 0.500 0.729 1

=====

# 10
# CsC3 PBE optimized geometry
# Formation energy   2.240 eV/atom
# E above lowest polymorph   962.5 meV per atom
# N(E_F)   1.77 states/eV/cell
data_CsC3
_chemical_formula_sum 'Cs1 C3'
_symmetry_space_group_name_H-M 'P -6 m 2'
_symmetry_Int_Tables_number 187
_symmetry_space_group_name_Hall 'P -6 2'
_cell_length_a 3.5133
_cell_length_b 3.5133
_cell_length_c 6.4342
_cell_angle_alpha 90.00
_cell_angle_beta 90.00
_cell_angle_gamma 120.00
loop_
_atom_site_label
_atom_site_fract_x
_atom_site_fract_y
_atom_site_fract_z
_atom_site_occupancy
Cs1 0.0000 0.0000 0.0000 1
C1 0.0000 0.0000 0.5000 1
C2 0.3333 0.6667 0.3955 1

=====

# 11
# Nd4SmTl PBE optimized geometry
# Formation energy   -0.036 eV/atom
# E above lowest polymorph   0.0 meV per atom
# N(E_F)   11.20 states/eV/cell
data_Nd4SmTl
_chemical_formula_sum 'Nd4 Sm1 Tl1'
_symmetry_space_group_name_H-M 'P 4/m m m'
_symmetry_Int_Tables_number 123
_symmetry_space_group_name_Hall '-P 4 2'
_cell_length_a 4.221
_cell_length_b 4.221
_cell_length_c 11.094
_cell_angle_alpha 90.00
_cell_angle_beta 90.00
_cell_angle_gamma 90.00
loop_
_atom_site_label
_atom_site_fract_x
_atom_site_fract_y
_atom_site_fract_z
_atom_site_occupancy
Nd1 0.000 0.000 0.149 1
Nd2 0.500 0.500 0.332 1
Sm1 0.000 0.000 0.500 1
Tl1 0.500 0.500 0.000 1

=====

# 12
# Y7ThIn4 PBE optimized geometry
# Formation energy   -0.090 eV/atom
# N(E_F)   25.01 states/eV/cell
data_Y7ThIn4
_chemical_formula_sum 'Y14 Th2 In8'
_symmetry_space_group_name_H-M 'C 1 2/m 1'
_symmetry_Int_Tables_number 12
_cell_length_a 14.489
_cell_length_b 5.748
_cell_length_c 10.373
_cell_angle_alpha 90.00
_cell_angle_beta 123.40
_cell_angle_gamma 90.00
loop_
_symmetry_equiv_pos_as_xyz
'x,y,z'
'-x,-y,-z'
'-x,y,-z'
'x,-y,z'
'x+1/2,y+1/2,z'
'-x+1/2,-y+1/2,-z'
'-x+1/2,y+1/2,-z'
'x+1/2,-y+1/2,z'
loop_
_atom_site_label
_atom_site_fract_x
_atom_site_fract_y
_atom_site_fract_z
_atom_site_occupancy
Y1 0.000 0.000 0.000 1
Y2 0.064 0.500 0.394 1
Y3 0.209 0.500 0.881 1
Y4 0.222 0.000 0.666 1
Th1 0.000 0.500 0.000 1
In1 0.058 0.000 0.752 1
In2 0.183 0.000 0.335 1

=====

# 13
# La4Sm9Hg11 PBE optimized geometry
# Formation energy   -0.389 eV/atom
# N(E_F)   50.07 states/eV/cell
data_La4Sm9Hg11
_chemical_formula_sum 'La8 Sm18 Hg22'
_symmetry_space_group_name_H-M 'C m m m'
_symmetry_Int_Tables_number 65
_symmetry_space_group_name_Hall '-C 2 2'
_cell_length_a 16.224
_cell_length_b 22.842
_cell_length_c 3.651
_cell_angle_alpha 90.00
_cell_angle_beta 90.00
_cell_angle_gamma 90.00
loop_
_atom_site_label
_atom_site_fract_x
_atom_site_fract_y
_atom_site_fract_z
_atom_site_occupancy
La1 0.158 0.085 0.000 1
Sm1 0.000 0.000 0.000 1
Sm2 0.112 0.407 0.000 1
Sm3 0.118 0.233 0.000 1
Hg1 0.000 0.136 0.500 1
Hg2 0.000 0.319 0.500 1
Hg3 0.000 0.500 0.500 1
Hg4 0.214 0.500 0.500 1
Hg5 0.228 0.321 0.500 1

=====

no.,spin magnetization (μB/f.u.)
1,5.606
2,0.000
3,0.450
4,0.000
5,0.000
6,0.000
7,0.000
8,0.000
9,0.000
10,0.000
11,0.003
12,0.000
13,0.006